Compound: KMg2Tc
Source: Alexandria
Functional: GGA-PBE
Structure: relaxed

Summary:
Formation enthalpy at 0 K ... 0.78 eV per atom
Polymorph energy (0 for the lowest one) ... 0.327 eV/atom
Total DFT energy (no corrections) ... -2.879 eV per atom

Unit cell a=6.8288 b=6.8288 c=6.8288 alpha=156.04 beta=127.92 gamma=58.11
With the nearest neighbours (Å) after each atom.
Sites, in units of the cell vectors:
K 0.2500 0.7500 0.5000  2 K 2.84
Mg 0.9499 0.9499 0.0000  2 Tc 2.78, 2 Mg 2.84
Mg 0.5501 0.5501 0.0000  2 Tc 2.78, 2 Mg 2.84
Tc 0.7500 0.2500 0.5000  4 Mg 2.78, 2 Tc 2.84